This record from Alexandria via LeMat-Bulk describes crystalline As2SeCl at its relaxed geometry. The functional is PBE.

Geometry as CIF:
```
data_As2SeCl
_chemical_formula_sum 'As4 Se2 Cl2'
_cell_length_a 7.4416
_cell_length_b 7.4416
_cell_length_c 6.1834
_cell_angle_alpha 53.01
_cell_angle_beta 53.01
_cell_angle_gamma 90.00
_symmetry_space_group_name_H-M 'P 1'
_symmetry_Int_Tables_number 1
loop_
_symmetry_equiv_pos_as_xyz
'x,y,z'
loop_
_atom_site_label
_atom_site_type_symbol
_atom_site_fract_x
_atom_site_fract_y
_atom_site_fract_z
Se1 Se 0.7500 0.2500 0.5000
Se2 Se 0.0000 0.0000 0.0000
As1 As 0.1057 0.6250 0.2500
As2 As 0.3750 0.3557 0.7500
As3 As 0.6443 0.1250 0.2500
As4 As 0.8750 0.8943 0.7500
Cl1 Cl 0.2500 0.7500 0.5000
Cl2 Cl 0.5000 0.5000 0.0000
```

crystal system: tetragonal
excess energy over the best structure of this formula in the dataset: 1.52 eV/f.u.
energy relative to the elements, uncorrected: 0.992 eV per formula unit

=====

This record from Alexandria via LeMat-Bulk describes crystalline Pm2Dy4Y2Tm at its relaxed geometry. The functional is PBE.

Geometry as CIF:
```
data_Pm2Dy4Y2Tm
_chemical_formula_sum 'Pm2 Dy4 Y2 Tm1'
_cell_length_a 3.6000
_cell_length_b 9.5095
_cell_length_c 9.5631
_cell_angle_alpha 115.22
_cell_angle_beta 90.00
_cell_angle_gamma 100.91
_symmetry_space_group_name_H-M 'P 1'
_symmetry_Int_Tables_number 1
loop_
_symmetry_equiv_pos_as_xyz
'x,y,z'
loop_
_atom_site_label
_atom_site_type_symbol
_atom_site_fract_x
_atom_site_fract_y
_atom_site_fract_z
Y1 Y 0.8532 0.7063 0.3367
Y2 Y 0.1468 0.2937 0.6633
Pm1 Pm 0.3347 0.6694 0.0000
Pm2 Pm 0.6653 0.3306 0.0000
Dy1 Dy 0.4810 0.9619 0.6669
Dy2 Dy 0.5190 0.0381 0.3331
Dy3 Dy 0.1851 0.3702 0.3350
Dy4 Dy 0.8149 0.6298 0.6650
Tm1 Tm 0.0000 0.0000 0.0000
```

crystal system: monoclinic
E_tot: -45.32 eV for the cell shown

=====

This record from Alexandria via LeMat-Bulk describes crystalline BeCoTc2 at its relaxed geometry. The functional is PBE.

Geometry as CIF:
```
data_BeCoTc2
_chemical_formula_sum 'Be1 Co1 Tc2'
_cell_length_a 2.7018
_cell_length_b 2.7018
_cell_length_c 6.4581
_cell_angle_alpha 90.00
_cell_angle_beta 90.00
_cell_angle_gamma 90.00
_symmetry_space_group_name_H-M 'P 1'
_symmetry_Int_Tables_number 1
loop_
_symmetry_equiv_pos_as_xyz
'x,y,z'
loop_
_atom_site_label
_atom_site_type_symbol
_atom_site_fract_x
_atom_site_fract_y
_atom_site_fract_z
Be1 Be 0.0000 0.0000 0.5297
Co1 Co 0.5000 0.5000 0.7127
Tc1 Tc 0.5000 0.5000 0.2809
Tc2 Tc 0.0000 0.0000 0.9766
```

crystal system: tetragonal
excess energy over the best structure of this formula in the dataset: 0.00 eV/f.u.

=====

This record from Alexandria via LeMat-Bulk describes crystalline V2NiH at its relaxed geometry. The functional is PBE.

Geometry as CIF:
```
data_V2NiH
_chemical_formula_sum 'V4 Ni2 H2'
_cell_length_a 4.3317
_cell_length_b 4.3317
_cell_length_c 5.8819
_cell_angle_alpha 68.39
_cell_angle_beta 68.39
_cell_angle_gamma 90.00
_symmetry_space_group_name_H-M 'P 1'
_symmetry_Int_Tables_number 1
loop_
_symmetry_equiv_pos_as_xyz
'x,y,z'
loop_
_atom_site_label
_atom_site_type_symbol
_atom_site_fract_x
_atom_site_fract_y
_atom_site_fract_z
V1 V 0.4780 0.1250 0.2500
V2 V 0.2720 0.6250 0.2500
V3 V 0.3750 0.5220 0.7500
V4 V 0.8750 0.7280 0.7500
H1 H 0.2500 0.7500 0.5000
H2 H 0.5000 0.5000 0.0000
Ni1 Ni 0.7500 0.2500 0.5000
Ni2 Ni 0.0000 0.0000 0.0000
```

crystal system: tetragonal
E_tot: -51.30 eV for the cell shown